(1)
Entry from the Alexandria database: a relaxed structure of MoW2C (PBE-GGA).

Cell: 2.7240 2.7240 7.2592 Å, 90.00 90.00 90.00°
Space group P4/mmm (No. 123)
Inequivalent atoms, fractional coordinates:
Mo 0.0000 0.0000 0.0000 (multiplicity 1)
W 0.5000 0.5000 0.3191 (multiplicity 2)
C 0.0000 0.0000 0.5000 (multiplicity 1)

As for the formation energy: 2.1 eV/f.u. The total moment comes out at 0.00 μB/atom.

(2)
Entry from the Alexandria database: a relaxed structure of MoWC2 (PBE-GGA).

Cell: 5.4520 5.4520 5.4520 Å, 90.00 90.00 90.00°
Space group Fm-3m (No. 225)
Inequivalent atoms, fractional coordinates:
Mo 0.0000 0.0000 0.0000 (multiplicity 4)
W 0.0000 0.0000 0.5000 (multiplicity 4)
C 0.2500 0.2500 0.2500 (multiplicity 8)

As for the formation energy: 2.9 eV/f.u. The total moment comes out at 0.00 μB/atom.

(3)
Entry from the Alexandria database: a relaxed structure of Mo2WC (PBE-GGA).

Cell: 3.1491 3.7885 4.6234 Å, 90.00 90.00 90.00°
Space group Pmmm (No. 47)
Inequivalent atoms, fractional coordinates:
Mo 0.0000 0.0000 0.0000 (multiplicity 1)
Mo 0.5000 0.5000 0.0000 (multiplicity 1)
W 0.0000 0.5000 0.5000 (multiplicity 1)
C 0.5000 0.0000 0.5000 (multiplicity 1)

As for the formation energy: 4.3 eV/f.u. The total moment comes out at 0.00 μB/atom.

(4)
Entry from the Alexandria database: a relaxed structure of MoW2C (PBE-GGA).

Cell: 3.4988 3.4988 9.0657 Å, 90.00 90.00 90.00°
Space group I-4m2 (No. 119)
Inequivalent atoms, fractional coordinates:
Mo 0.0000 0.0000 0.0000 (multiplicity 2)
W 0.0000 0.0000 0.5000 (multiplicity 2)
W 0.0000 0.5000 0.7500 (multiplicity 2)
C 0.0000 0.5000 0.2500 (multiplicity 2)

As for the formation energy: 4.5 eV/f.u. The total moment comes out at 0.00 μB/atom.

(5)
Entry from the Alexandria database: a relaxed structure of Mo2WC (PBE-GGA).

Cell: 4.8537 8.3252 2.8723 Å, 90.00 102.85 90.00°
Space group C2/m (No. 12)
Inequivalent atoms, fractional coordinates:
Mo 0.2500 0.2500 0.0000 (multiplicity 4)
W 0.0000 0.0000 0.5000 (multiplicity 2)
C 0.0000 0.5000 0.5000 (multiplicity 2)

As for the formation energy: 4.6 eV/f.u. The total moment comes out at 0.00 μB/atom.

(6)
Entry from the Alexandria database: a relaxed structure of MoWC2 (PBE-GGA).

Cell: 2.8837 2.8884 10.1246 Å, 90.00 90.00 90.00°
Space group Imm2 (No. 44)
Inequivalent atoms, fractional coordinates:
Mo 0.0000 0.0000 0.0000 (multiplicity 2)
W 0.0000 0.5000 0.7496 (multiplicity 2)
C 0.0000 0.0000 0.5830 (multiplicity 2)
C 0.0000 0.5000 0.3313 (multiplicity 2)

As for the formation energy: -0.4 eV/f.u. The total moment comes out at 0.00 μB/atom.